1.
First-principles (GGA-PBE) data for a relaxed structure of MgZnCo2, as listed in Alexandria.

Summary:
DFT formation energy ... 0.134 eV per atom
Crystal system ... monoclinic

Unit cell a=5.184 b=8.003 c=2.605 alpha=90.00 beta=103.39 gamma=90.00
Space group C2/m (No. 12)
Unique sites:
Mg: 0.000 0.000 0.000 [2 per cell]
Zn: 0.000 0.500 0.000 [2 per cell]
Co: 0.250 0.250 0.500 [4 per cell]

=====

2.
First-principles (GGA-PBE) data for a relaxed structure of LiHf2ZnGe, as listed in Alexandria.

Summary:
DFT formation energy ... 0.433 eV per atom
Crystal system ... tetragonal

Unit cell a=4.925 b=4.925 c=4.272 alpha=90.00 beta=90.00 gamma=90.00
Space group P4/mmm (No. 123)
Unique sites:
Li: 0.000 0.000 0.000 [1 per cell]
Hf: 0.000 0.500 0.500 [2 per cell]
Zn: 0.000 0.000 0.500 [1 per cell]
Ge: 0.500 0.500 0.000 [1 per cell]

=====

3.
First-principles (GGA-PBE) data for a relaxed structure of Zr2TaAl, as listed in Alexandria.

Summary:
DFT formation energy ... 0.004 eV per atom
Crystal system ... trigonal

Unit cell a=3.1369 b=3.1369 c=28.9508 alpha=90.00 beta=90.00 gamma=120.00
Space group R-3m (No. 166, hexagonal axes)
Unique sites:
Zr: 0.0000 0.0000 0.2495 [6 per cell]
Ta: 0.0000 0.0000 0.0000 [3 per cell]
Al: 0.0000 0.0000 0.5000 [3 per cell]

=====

4.
First-principles (GGA-PBE) data for a relaxed structure of YTcSn3, as listed in Alexandria.

Summary:
DFT formation energy ... 0.175 eV per atom
Crystal system ... cubic
Polymorph energy (0 for the lowest one) ... 0.00 eV/f.u.

Unit cell a=5.172 b=5.172 c=5.172 alpha=90.00 beta=90.00 gamma=90.00
Space group Pm-3m (No. 221)
Unique sites:
Y: 0.000 0.000 0.000 [1 per cell]
Tc: 0.500 0.500 0.500 [1 per cell]
Sn: 0.000 0.500 0.500 [3 per cell]

=====

5.
First-principles (GGA-PBE) data for a relaxed structure of Tm3GaS6, as listed in Alexandria.

Summary:
Crystal system ... orthorhombic
ΔE_f (raw) ... -1718 meV per atom

Unit cell a=10.563 b=13.180 c=6.406 alpha=90.00 beta=90.00 gamma=90.00
Space group Cmc2_1 (No. 36)
Unique sites:
Tm: 0.000 0.097 0.000 [4 per cell]
Tm: 0.185 0.401 0.910 [8 per cell]
Ga: 0.000 0.299 0.374 [4 per cell]
S: 0.000 0.283 0.729 [4 per cell]
S: 0.000 0.460 0.225 [4 per cell]
S: 0.163 0.031 0.706 [8 per cell]
S: 0.167 0.232 0.190 [8 per cell]

=====

6.
First-principles (GGA-PBE) data for a relaxed structure of ZrFe22C6, as listed in Alexandria.

Summary:
DFT formation energy ... 0.065 eV per atom
Crystal system ... cubic

Unit cell a=10.573 b=10.573 c=10.573 alpha=90.00 beta=90.00 gamma=90.00
Space group Fm-3m (No. 225)
Unique sites:
Zr: 0.000 0.000 0.000 [4 per cell]
Fe: 0.000 0.174 0.174 [48 per cell]
Fe: 0.115 0.115 0.385 [32 per cell]
Fe: 0.250 0.250 0.250 [8 per cell]
C: 0.000 0.000 0.272 [24 per cell]